Below is SrTlCu2 after structural relaxation, with properties calculated at the PBE-GGA level.

POSCAR file:
```
SrTlCu2
1.0
-4.7522 0.2207 1.6639
-3.5062 -3.0317 -1.9789
-1.8908 -3.7876 2.7348
Cu Sr Tl
2 1 1
direct
0.2500 0.2500 0.2500
0.0000 0.0000 0.0000
0.5000 0.5000 0.5000
0.7500 0.7500 0.7500
```

Results
SG: No. 216
VASP energy: -2.87 eV per atom
Formation energy: 0.19 eV per atom

Below is SrTl2Cu2 after structural relaxation, with properties calculated at the PBE-GGA level.

POSCAR file:
```
SrTl2Cu2
1.0
-1.9798 2.5394 3.5576
-0.7576 -4.0458 2.4662
3.4436 -0.2436 5.3262
Cu Tl Sr
2 2 1
direct
0.2500 0.7500 0.5000
0.7500 0.2500 0.5000
0.3590 0.3590 0.2820
0.6410 0.6410 0.7180
0.0000 0.0000 0.0000
```

Results
Offset from the most stable computed form: 15 meV/atom
SG: No. 139
VASP energy: -2.95 eV per atom
Formation energy: -0.03 eV per atom